CaTiSnP3O12 | SCAN | PBEsol geometry

Cell and atoms, written as POSCAR:
```
CaTiSnP3O12
1.0
-1.145 2.357 8.312
1.529 -5.715 6.400
7.078 1.106 5.230
Ca Ti Sn P O
2 2 2 6 24
Cartesian
0.448 -3.337 14.715
3.795 -1.105 9.974
3.411 -2.389 14.854
6.758 -0.157 10.113
0.654 -2.111 9.827
4.001 0.121 5.086
1.510 0.111 7.425
2.921 -4.602 9.515
1.481 -0.578 12.726
5.934 -1.684 7.194
4.490 2.350 10.439
5.912 -2.397 12.522
7.098 -1.906 13.376
6.281 0.370 15.260
1.056 1.510 7.893
7.098 -2.351 16.408
2.903 0.174 6.769
1.771 -0.774 8.685
3.100 -4.892 8.010
2.474 -3.115 9.685
5.011 -2.876 6.983
1.768 -1.148 11.300
5.651 -0.534 6.176
3.157 2.513 9.723
4.277 -4.627 10.247
1.799 -1.673 13.765
5.710 -1.142 8.621
2.487 0.586 12.827
4.980 0.901 10.233
4.370 2.619 11.973
5.691 -1.476 11.303
4.599 -2.511 13.282
0.363 0.139 3.671
6.418 -3.784 12.011
1.171 -2.521 4.583
0.424 -0.472 6.532
```

final energy = -11.974 eV per atom
ΔE_f (raw) = -2664.0 meV per atom



SrCaP2O | SCAN | PBEsol geometry

Cell and atoms, written as POSCAR:
```
SrCaP2O
1.0
-0.101 -2.122 -3.757
4.251 -2.705 1.413
-3.050 -3.667 2.154
Sr Ca O P
1 1 1 2
Cartesian
0.550 -4.247 -0.095
0.000 0.000 0.000
-0.051 -1.061 -1.878
-1.525 -1.834 1.077
2.126 -1.353 0.707
```

energy relative to the lowest polymorph listed for this composition = 0 meV per atom
final energy = -12.270 eV per atom
ΔE_f (raw) = -476.5 meV per atom



Question: Number 1 is which compound?
Answer: CaTiSnP3O12



Question: The highest final energy belongs to which entry?
Answer: CaTiSnP3O12



Question: What is the formula in the first record?
Answer: CaTiSnP3O12